Record 1
# Ce2Y4Te3N2

Ce2Y4Te3N2 after structural relaxation (PBE-GGA, the Alexandria database).

a = 4.642 Å, b = 4.642 Å, c = 13.168 Å
α = 100.15°, β = 100.15°, γ = 90.00°
Sites, in units of the cell vectors:
N 0.604 0.604 0.209
N 0.396 0.396 0.791
Ce 0.693 0.693 0.386
Te 0.000 0.000 0.000
Te 0.824 0.824 0.649
Te 0.176 0.176 0.351
Y 0.583 0.083 0.165
Y 0.083 0.583 0.165
Y 0.917 0.417 0.835
Y 0.417 0.917 0.835
Ce 0.307 0.307 0.614

## Properties
**DOS at the Fermi energy**: 16.3 states/eV per cell
**Energy relative to the elements, uncorrected**: -1.19 eV per atom
**Spin magnetization**: 2.79 μB/f.u.

---

Record 2
# Ce2ZnTe2N2

Ce2ZnTe2N2 after structural relaxation (PBE-GGA, the Alexandria database).

a = 3.984 Å, b = 6.019 Å, c = 7.020 Å
α = 73.01°, β = 73.51°, γ = 70.67°
Sites, in units of the cell vectors:
Ce 0.803 0.615 0.780
Zn 0.000 0.000 0.000
N 0.805 0.318 0.071
Te 0.426 0.796 0.352
Te 0.574 0.204 0.648
Ce 0.197 0.385 0.220
N 0.195 0.682 0.929

## Properties
**Energy relative to the elements, uncorrected**: -1.14 eV per atom
**Spin magnetization**: 0.31 μB/f.u.

---

Record 3
# Ce3ThN3

Ce3ThN3 after structural relaxation (PBE-GGA, the Alexandria database).

a = 5.065 Å, b = 5.065 Å, c = 5.065 Å
α = 90.00°, β = 90.00°, γ = 90.00°
Sites, in units of the cell vectors:
N 0.500 0.500 0.000
N 0.000 0.500 0.500
Ce 0.500 0.000 0.000
Th 0.500 0.500 0.500
Ce 0.000 0.500 0.000
Ce 0.000 0.000 0.500
N 0.500 0.000 0.500

## Properties
**DOS at the Fermi energy**: 10.7 states/eV per cell
**Energy relative to the elements, uncorrected**: -1.26 eV per atom
**Spin magnetization**: 0.82 μB/f.u.

---

Record 4
# CeTh2N3

CeTh2N3 after structural relaxation (PBE-GGA, the Alexandria database).

a = 6.301 Å, b = 6.291 Å, c = 6.300 Å
α = 80.37°, β = 60.00°, γ = 70.45°
Sites, in units of the cell vectors:
Ce 0.666 0.000 0.667
Ce 0.334 0.000 0.333
N 0.749 0.751 0.000
N 0.083 0.751 0.334
Th 0.832 0.500 0.335
N 0.917 0.249 0.666
N 0.417 0.751 0.666
Th 0.168 0.500 0.665
Th 0.000 0.000 0.000
N 0.251 0.249 0.000
N 0.583 0.249 0.334
Th 0.500 0.500 0.000

## Properties
**DOS at the Fermi energy**: 8.7 states/eV per cell
**Energy relative to the elements, uncorrected**: -1.56 eV per atom
**Spin magnetization**: 0.00 μB/f.u.

---

Number 1: final energy -76.94 eV per cell. Number 2: final energy -44.05 eV per cell. Number 3: final energy -59.00 eV per cell. Number 4: final energy -110.22 eV per cell.